14
Lattice="6.380 0.000 0.000 -3.190 5.525 0.000 0.000 0.000 8.278" Properties=species:S:1:pos:R:3 comment="K3TlMo2O8 GGA+U optimized geometry" n_ef_per_ev_cell=0.00 total_energy_ev_per_cell=-83.60 pbc="T T T"
K 0.000 0.000 0.000
K 0.000 3.683 5.596
K 3.190 1.842 2.681
Tl 0.000 0.000 4.139
Mo 0.000 3.683 1.620
Mo 3.190 1.842 6.658
O 0.000 1.992 2.254
O -1.464 4.529 2.254
O 0.000 3.683 8.116
O 1.725 0.996 6.023
O 1.464 4.529 2.254
O 3.190 1.842 0.162
O 4.654 0.996 6.023
O 3.190 3.533 6.023